Material: RbPaCrO6
Method: DFT, GGA+U
State: optimized geometry

Calculated values
Crystal system = trigonal
Space group = P312 (149)
E = -64.33 eV for the cell shown
ρ = 5.78 g cm⁻³

abc: 4.9966 5.5535 5.5535
angles: 120.00 90.00 90.00
Each line ends with the local moment (μB).
Element x y z (fractional)
Rb 0.5000 0.6667 0.3333  0.00
Pa 0.0000 0.3333 0.6667  -0.08
Cr 0.5000 0.0000 0.0000  1.23
O 0.7320 0.6902 0.8209  0.08
O 0.7320 0.1791 0.8693  0.08
O 0.7320 0.1307 0.3098  0.08
O 0.2680 0.1791 0.3098  0.08
O 0.2680 0.6902 0.8693  0.08
O 0.2680 0.1307 0.8209  0.08